Compound: CrSbW2
Source: the Alexandria database
Functional: PBEsol
Structure: relaxed

formation energy without anion corrections = 500 meV per atom

a b c (Å): 4.441 4.441 4.441
angles (deg): 60.00 60.00 60.00
Element x y z (fractional)
Cr  0.000  0.000  0.000
Sb  0.250  0.250  0.250
W  0.500  0.500  0.500
W  0.750  0.750  0.750